# 1
Ca2VHg2: relaxed, PBE.

Cell: 8.597 8.597 3.595 Å, 90.00 90.00 90.00°
Positions (direct):
Ca 0.151 0.349 0.000
Ca 0.349 0.849 0.000
Ca 0.651 0.151 0.000
Ca 0.849 0.651 0.000
V 0.000 0.000 0.000
V 0.500 0.500 0.000
Hg 0.147 0.647 0.500
Hg 0.353 0.147 0.500
Hg 0.647 0.853 0.500
Hg 0.853 0.353 0.500

Computed properties:
- ΔE to the lowest computed polymorph: 0.000 eV/atom
- Total magnetization: 3.23 μB/f.u.
- Energy of formation from the pure elements: 0.18 eV per atom

# 2
SmMgTe2: relaxed, PBE.

Cell: 7.869 7.869 7.869 Å, 31.26 31.26 31.26°
Positions (direct):
Sm 0.000 0.000 0.000
Mg 0.166 0.166 0.166
Te 0.574 0.574 0.574
Te 0.756 0.756 0.756

Computed properties:
- ΔE to the lowest computed polymorph: 0.000 eV/atom
- Formation energy (no corrections): -103.9 kJ per mole of atoms
- Total magnetization: 0.78 μB/f.u.

# 3
Nd3URu4: relaxed, PBE.

Cell: 6.359 6.359 6.359 Å, 126.81 105.69 97.50°
Positions (direct):
Nd 0.000 0.000 0.000
Nd 0.124 0.369 0.755
Nd 0.613 0.369 0.245
U 0.442 0.942 0.500
Ru 0.031 0.715 0.316
Ru 0.399 0.715 0.684
Ru 0.664 0.429 0.764
Ru 0.664 0.900 0.236

Computed properties:
- Total magnetization: 0.00 μB/f.u.
- Energy of formation from the pure elements: -0.20 eV per atom

# 4
LiZrGe2: relaxed, PBE.

Cell: 4.689 4.689 4.689 Å, 60.00 60.00 60.00°
Positions (direct):
Li 0.000 0.000 0.000
Zr 0.500 0.500 0.500
Ge 0.250 0.250 0.250
Ge 0.750 0.750 0.750

Computed properties:
- ΔE to the lowest computed polymorph: 0.210 eV/atom
- Total magnetization: 0.00 μB/f.u.
- Energy of formation from the pure elements: -0.23 eV per atom

# 5
K2CuC: relaxed, PBE.

Cell: 8.492 8.492 8.492 Å, 92.67 92.67 155.07°
Positions (direct):
K 0.375 0.090 0.215
K 0.840 0.625 0.715
K 0.875 0.160 0.785
K 0.910 0.125 0.285
Cu 0.250 0.750 0.500
Cu 0.500 0.500 0.000
C 0.000 0.000 0.000
C 0.750 0.250 0.500

Computed properties:
- Total magnetization: 0.00 μB/f.u.
- Energy of formation from the pure elements: 0.58 eV per atom

# 6
Tb5CuTe2: relaxed, PBE.

Cell: 6.956 6.956 12.947 Å, 90.00 90.00 129.42°
Positions (direct):
Tb 0.056 0.944 0.614
Tb 0.056 0.944 0.886
Tb 0.364 0.636 0.250
Tb 0.386 0.614 0.583
Tb 0.386 0.614 0.917
Tb 0.614 0.386 0.083
Tb 0.614 0.386 0.417
Tb 0.636 0.364 0.750
Tb 0.944 0.056 0.114
Tb 0.944 0.056 0.386
Cu 0.229 0.771 0.750
Cu 0.771 0.229 0.250
Te 0.192 0.808 0.083
Te 0.192 0.808 0.417
Te 0.808 0.192 0.583
Te 0.808 0.192 0.917

Computed properties:
- Formation energy (no corrections): -45.6 kJ per mole of atoms
- Total magnetization: 0.00 μB/f.u.

# 7
AcPu3Hg4: relaxed, PBE.

Cell: 3.798 3.798 15.696 Å, 90.00 90.00 90.00°
Positions (direct):
Ac 0.000 0.000 0.000
Pu 0.000 0.000 0.259
Pu 0.000 0.000 0.500
Pu 0.000 0.000 0.741
Hg 0.500 0.500 0.139
Hg 0.500 0.500 0.379
Hg 0.500 0.500 0.621
Hg 0.500 0.500 0.861

Computed properties:
- Total magnetization: 5.88 μB/f.u.
- Energy of formation from the pure elements: -0.17 eV per atom

# 8
Hg3BO4: relaxed, PBE.

Cell: 6.657 6.144 5.577 Å, 90.00 90.00 90.00°
Positions (direct):
Hg 0.000 0.143 0.000
Hg 0.231 0.319 0.492
Hg 0.269 0.681 0.992
Hg 0.500 0.857 0.500
Hg 0.731 0.681 0.992
Hg 0.769 0.319 0.492
B 0.000 0.808 0.489
B 0.500 0.192 0.989
O 0.000 0.032 0.592
O 0.000 0.811 0.221
O 0.186 0.689 0.575
O 0.314 0.311 0.075
O 0.500 0.189 0.721
O 0.500 0.968 0.092
O 0.686 0.311 0.075
O 0.814 0.689 0.575

Computed properties:
- Formation energy (no corrections): -76.6 kJ per mole of atoms
- Total magnetization: 0.00 μB/f.u.

# 9
NaTl3InBi: relaxed, PBE.

Cell: 7.344 5.180 10.102 Å, 90.00 110.77 90.00°
Positions (direct):
Na 0.015 0.250 0.134
Na 0.985 0.750 0.866
Tl 0.313 0.250 0.948
Tl 0.327 0.750 0.712
Tl 0.338 0.250 0.462
Tl 0.662 0.750 0.538
Tl 0.673 0.250 0.288
Tl 0.687 0.750 0.052
In 0.025 0.750 0.384
In 0.975 0.250 0.616
Bi 0.338 0.750 0.193
Bi 0.662 0.250 0.807

Computed properties:
- Total magnetization: 0.00 μB/f.u.
- Energy of formation from the pure elements: -0.07 eV per atom

# 10
BaSbPdI2: relaxed, PBE.

Cell: 6.675 6.675 7.031 Å, 90.00 90.00 90.00°
Positions (direct):
Ba 0.000 0.000 0.000
Sb 0.000 0.000 0.500
Pd 0.500 0.500 0.500
I 0.000 0.500 0.000
I 0.500 0.000 0.000

Computed properties:
- ΔE to the lowest computed polymorph: 0.878 eV/atom
- Formation energy (no corrections): 25.8 kJ per mole of atoms
- Total magnetization: 2.50 μB/f.u.

# 11
Ho15Tm4Mg: relaxed, PBE.

Cell: 4.951 4.951 24.801 Å, 90.00 90.00 90.00°
Positions (direct):
Ho 0.000 0.000 0.000
Ho 0.000 0.000 0.197
Ho 0.000 0.000 0.399
Ho 0.000 0.000 0.601
Ho 0.000 0.000 0.803
Ho 0.000 0.500 0.099
Ho 0.000 0.500 0.299
Ho 0.000 0.500 0.500
Ho 0.000 0.500 0.701
Ho 0.000 0.500 0.901
Ho 0.500 0.000 0.099
Ho 0.500 0.000 0.299
Ho 0.500 0.000 0.500
Ho 0.500 0.000 0.701
Ho 0.500 0.000 0.901
Tm 0.500 0.500 0.198
Tm 0.500 0.500 0.399
Tm 0.500 0.500 0.601
Tm 0.500 0.500 0.802
Mg 0.500 0.500 0.000

Computed properties:
- Total magnetization: 0.00 μB/f.u.
- Energy of formation from the pure elements: 0.02 eV per atom

# 12
GeSb2Pb: relaxed, PBE.

Cell: 5.310 5.310 5.310 Å, 60.00 60.00 60.00°
Positions (direct):
Ge 0.000 0.000 0.000
Sb 0.250 0.250 0.250
Sb 0.750 0.750 0.750
Pb 0.500 0.500 0.500

Computed properties:
- ΔE to the lowest computed polymorph: 0.133 eV/atom
- Formation energy (no corrections): 24.7 kJ per mole of atoms
- Total magnetization: 0.00 μB/f.u.

> What is the total magnetization in the fifth record?

0.00 μB/f.u.